No. 1
DFT (GGA-PBE) results for crystalline Ac2SI3 at its relaxed geometry.

Cell lengths 7.9559, 7.9559, 8.2839 Å; angles 99.57, 99.57, 31.42 degrees
Sites, in units of the cell vectors:
1 Ac 0.1035 0.1035 0.3787
2 Ac 0.8965 0.8965 0.6213
3 S 0.5000 0.5000 0.5000
4 I 0.0000 0.0000 0.0000
5 I 0.2480 0.2480 0.7383
6 I 0.7520 0.7520 0.2617

## Properties
- Formation energy (no corrections): -1.5954 eV per atom
- Symmetry: C2/m

No. 2
DFT (GGA-PBE) results for crystalline AcS2I at its relaxed geometry.

Cell lengths 8.4210, 8.4210, 8.4210 Å; angles 32.22, 32.22, 32.22 degrees
Sites, in units of the cell vectors:
1 Ac 0.0000 0.0000 0.0000
2 S 0.3890 0.3890 0.3890
3 S 0.6110 0.6110 0.6110
4 I 0.5000 0.5000 0.5000

## Properties
- Formation energy (no corrections): -1.2577 eV per atom
- Symmetry: R-3m

No. 3
DFT (GGA-PBE) results for crystalline Ac6Si3S2I at its relaxed geometry.

Cell lengths 10.1192, 10.1192, 9.1012 Å; angles 101.98, 101.98, 26.06 degrees
Sites, in units of the cell vectors:
1 Ac 0.0017 0.0017 0.2765
2 Ac 0.3228 0.3228 0.9134
3 Ac 0.3340 0.3340 0.4115
4 Ac 0.6660 0.6660 0.5885
5 Ac 0.6772 0.6772 0.0866
6 Ac 0.9983 0.9983 0.7235
7 Si 0.1625 0.1625 0.8337
8 Si 0.5000 0.5000 0.5000
9 Si 0.8375 0.8375 0.1663
10 S 0.1685 0.1685 0.3359
11 S 0.8315 0.8315 0.6641
12 I 0.5000 0.5000 0.0000

## Properties
- Formation energy (no corrections): -1.1434 eV per atom
- Symmetry: C2/m

No. 4
DFT (GGA-PBE) results for crystalline Ac4SiSI2 at its relaxed geometry.

Cell lengths 7.6644, 4.5055, 8.5762 Å; angles 90.00, 107.95, 90.00 degrees
Sites, in units of the cell vectors:
1 Ac 0.2279 0.0000 0.1948
2 Ac 0.2623 0.5000 0.8026
3 Ac 0.7377 0.5000 0.1974
4 Ac 0.7721 0.0000 0.8052
5 Si 0.5000 0.0000 0.0000
6 S 0.0000 0.5000 0.0000
7 I 0.0000 0.0000 0.5000
8 I 0.5000 0.5000 0.5000

## Properties
- Formation energy (no corrections): -1.2064 eV per atom
- Symmetry: P2/m

No. 5
DFT (GGA-PBE) results for crystalline Ac6Si2SI3 at its relaxed geometry.

Cell lengths 7.7945, 7.7945, 8.6051 Å; angles 98.69, 98.69, 120.03 degrees
Sites, in units of the cell vectors:
1 Ac 0.0651 0.3976 0.1962
2 Ac 0.2661 0.2661 0.8033
3 Ac 0.3976 0.0651 0.1962
4 Ac 0.6024 0.9349 0.8038
5 Ac 0.7339 0.7339 0.1967
6 Ac 0.9349 0.6024 0.8038
7 Si 0.3338 0.6662 0.0000
8 Si 0.6662 0.3338 0.0000
9 S 0.0000 0.0000 0.0000
10 I 0.1697 0.8303 0.5000
11 I 0.5000 0.5000 0.5000
12 I 0.8303 0.1697 0.5000

## Properties
- Formation energy (no corrections): -1.1262 eV per atom
- Symmetry: C2/m

No. 6
DFT (GGA-PBE) results for crystalline Ac8Si3SI4 at its relaxed geometry.

Cell lengths 9.7088, 9.7088, 9.7088 Å; angles 55.59, 55.59, 55.59 degrees
Sites, in units of the cell vectors:
1 Ac 0.2331 0.2331 0.2331
2 Ac 0.2336 0.7314 0.7314
3 Ac 0.2686 0.2686 0.7664
4 Ac 0.2686 0.7664 0.2686
5 Ac 0.7314 0.2336 0.7314
6 Ac 0.7314 0.7314 0.2336
7 Ac 0.7664 0.2686 0.2686
8 Ac 0.7669 0.7669 0.7669
9 Si 0.0000 0.0000 0.5000
10 Si 0.0000 0.5000 0.0000
11 Si 0.5000 0.0000 0.0000
12 S 0.5000 0.5000 0.5000
13 I 0.0000 0.0000 0.0000
14 I 0.0000 0.5000 0.5000
15 I 0.5000 0.0000 0.5000
16 I 0.5000 0.5000 0.0000

## Properties
- Formation energy (no corrections): -1.0735 eV per atom
- Symmetry: R-3m

Sequential theoretical density output: 5.3, 4.6, 6.8, 7.2, 7.0, 7.0 Mg/m³
Sequential raw total energy output: -4.43, -4.74, -5.37, -4.84, -4.82, -4.79 eV/atom